Version 1
Zr4Si after structural relaxation, computed with GGA-PBE.

abc: 4.9877 4.9877 4.9877
angles: 90.00 90.00 90.00
Element x y z (fractional)
1 Zr 0.0000 0.0000 0.0000
2 Zr 0.0000 0.5000 0.5000
3 Zr 0.5000 0.0000 0.5000
4 Zr 0.5000 0.5000 0.0000
5 Si 0.5000 0.5000 0.5000

Calculated values
Space group: No. 221

---

Version 2
Zr4Si after structural relaxation, computed with GGA-PBE.

abc: 7.9752 7.9752 7.9752
angles: 151.72 151.72 40.42
Element x y z (fractional)
1 Zr 0.0832 0.0832 0.0000
2 Zr 0.2500 0.7500 0.5000
3 Zr 0.7500 0.2500 0.5000
4 Zr 0.9168 0.9168 0.0000
5 Si 0.5000 0.5000 0.0000

Calculated values
Space group: No. 139

---

Version 3
Zr4Si after structural relaxation, computed with GGA-PBE.

abc: 5.5682 5.5682 5.5682
angles: 96.81 96.81 139.73
Element x y z (fractional)
1 Zr 0.0901 0.7176 0.8077
2 Zr 0.2824 0.0901 0.3725
3 Zr 0.7176 0.9099 0.6275
4 Zr 0.9099 0.2824 0.1923
5 Si 0.5000 0.5000 0.0000

Calculated values
Space group: No. 87

---

What should be chosen as the least stable of them? Choose version 2.

---

Version 1
Sm after structural relaxation, computed with GGA-PBE.

abc: 3.6436 3.6436 11.7317
angles: 90.00 90.00 120.00
Element x y z (fractional)
1 Sm 0.0000 0.0000 0.0000
2 Sm 0.0000 0.0000 0.5000
3 Sm 0.3333 0.6667 0.2500
4 Sm 0.6667 0.3333 0.7500

Calculated values
Space group: No. 194

---

Version 2
Sm after structural relaxation, computed with GGA-PBE.

abc: 3.6781 3.6781 5.8285
angles: 90.00 90.00 120.00
Element x y z (fractional)
1 Sm 0.3333 0.6667 0.2500
2 Sm 0.6667 0.3333 0.7500

Calculated values
Space group: No. 194

---

What should be chosen as the least stable of them? Choose version 2.

---

Version 1
Sm3Sn5 after structural relaxation, computed with GGA-PBE.

abc: 10.6510 10.6510 10.6510
angles: 154.77 154.77 35.98
Element x y z (fractional)
1 Sm 0.0000 0.0000 0.0000
2 Sm 0.6411 0.1411 0.5000
3 Sm 0.8589 0.3589 0.5000
4 Sn 0.1213 0.6213 0.5000
5 Sn 0.2522 0.2522 0.0000
6 Sn 0.3787 0.8787 0.5000
7 Sn 0.5000 0.5000 0.0000
8 Sn 0.7478 0.7478 0.0000

Calculated values
Space group: No. 119

---

Version 2
Sm3Sn5 after structural relaxation, computed with GGA-PBE.

abc: 12.9228 10.5198 6.4541
angles: 90.00 90.00 90.00
Element x y z (fractional)
1 Sm 0.0549 0.2500 0.1295
2 Sm 0.1509 0.5054 0.6241
3 Sm 0.1509 0.9946 0.6241
4 Sm 0.3491 0.0054 0.1241
5 Sm 0.3491 0.4946 0.1241
6 Sm 0.4451 0.7500 0.6295
7 Sm 0.5549 0.2500 0.3705
8 Sm 0.6509 0.5054 0.8759
9 Sm 0.6509 0.9946 0.8759
10 Sm 0.8491 0.0054 0.3759
11 Sm 0.8491 0.4946 0.3759
12 Sm 0.9451 0.7500 0.8705
13 Sn 0.9998 0.2500 0.6024
14 Sn 0.0002 0.7500 0.3976
15 Sn 0.0919 0.5465 0.1275
16 Sn 0.0919 0.9535 0.1275
17 Sn 0.2311 0.7500 0.8864
18 Sn 0.2460 0.7500 0.3542
19 Sn 0.2540 0.2500 0.8542
20 Sn 0.2689 0.2500 0.3864
21 Sn 0.4081 0.0465 0.6275
22 Sn 0.4081 0.4535 0.6275
23 Sn 0.4998 0.2500 0.8976
24 Sn 0.5002 0.7500 0.1024
25 Sn 0.5919 0.5465 0.3725
26 Sn 0.5919 0.9535 0.3725
27 Sn 0.7311 0.7500 0.6136
28 Sn 0.7460 0.7500 0.1458
29 Sn 0.7540 0.2500 0.6458
30 Sn 0.7689 0.2500 0.1136
31 Sn 0.9081 0.0465 0.8725
32 Sn 0.9081 0.4535 0.8725

Calculated values
Space group: No. 62

---

What should be chosen as the least stable of them? Choose version 1.

---

Version 1
Sm4Sn3 after structural relaxation, computed with GGA-PBE.

abc: 12.2240 12.2240 12.2240
angles: 159.46 159.46 29.21
Element x y z (fractional)
1 Sm 0.0631 0.0631 0.0000
2 Sm 0.3230 0.3230 0.0000
3 Sm 0.6770 0.6770 0.0000
4 Sm 0.9369 0.9369 0.0000
5 Sn 0.1884 0.1884 0.0000
6 Sn 0.5000 0.5000 0.0000
7 Sn 0.8116 0.8116 0.0000

Calculated values
Space group: No. 139

---

Version 2
Sm4Sn3 after structural relaxation, computed with GGA-PBE.

abc: 8.2191 8.2191 8.2191
angles: 109.47 109.47 109.47
Element x y z (fractional)
1 Sm 0.0000 0.3603 0.5000
2 Sm 0.0000 0.8603 0.5000
3 Sm 0.1397 0.1397 0.1397
4 Sm 0.3603 0.5000 0.0000
5 Sm 0.5000 0.0000 0.3603
6 Sm 0.5000 0.0000 0.8603
7 Sm 0.6397 0.6397 0.6397
8 Sm 0.8603 0.5000 0.0000
9 Sn 0.1250 0.7500 0.8750
10 Sn 0.2500 0.6250 0.3750
11 Sn 0.3750 0.2500 0.6250
12 Sn 0.6250 0.3750 0.2500
13 Sn 0.7500 0.8750 0.1250
14 Sn 0.8750 0.1250 0.7500

Calculated values
Space group: No. 220

---

What should be chosen as the least stable of them? Choose version 1.